#one
A geometry-optimized AlZnIO2 structure, computed with PBE-GGA.

Unit cell a=3.969 b=3.969 c=5.720 alpha=90.00 beta=90.00 gamma=90.00
Space group P4/mmm (No. 123)
Symmetry-distinct sites (fractional):
Al1 0.000 0.000 0.000
Zn1 0.500 0.500 0.500
I1 0.500 0.500 0.000
O1 0.000 0.500 0.500

=====

#two
A geometry-optimized AlZnIO2 structure, computed with PBE-GGA.

Unit cell a=3.730 b=3.730 c=6.166 alpha=90.00 beta=90.00 gamma=90.00
Space group P4/mmm (No. 123)
Symmetry-distinct sites (fractional):
Al1 0.000 0.000 0.000
Zn1 0.500 0.500 0.500
I1 0.000 0.000 0.500
O1 0.000 0.500 0.000

=====

Stability verdict: #two, ahead by 95.1 kJ/mol of atoms

=====

#one
A geometry-optimized AlZnI2O structure, computed with PBE-GGA.

Unit cell a=6.198 b=6.198 c=3.577 alpha=90.00 beta=90.00 gamma=90.00
Space group P4/mmm (No. 123)
Symmetry-distinct sites (fractional):
Al1 0.000 0.000 0.000
Zn1 0.500 0.500 0.500
I1 0.000 0.500 0.500
O1 0.500 0.500 0.000

=====

#two
A geometry-optimized AlZnI2O structure, computed with PBE-GGA.

Unit cell a=5.796 b=5.796 c=3.500 alpha=90.00 beta=90.00 gamma=90.00
Space group P4/mmm (No. 123)
Symmetry-distinct sites (fractional):
Al1 0.000 0.000 0.000
Zn1 0.500 0.500 0.500
I1 0.000 0.500 0.000
O1 0.000 0.000 0.500

=====

Stability verdict: #two, ahead by 54.4 kJ/mol of atoms

=====

#one
A geometry-optimized ZrAlI2O structure, computed with PBE-GGA.

Unit cell a=5.756 b=5.756 c=3.484 alpha=90.00 beta=90.00 gamma=90.00
Space group P4/mmm (No. 123)
Symmetry-distinct sites (fractional):
Zr1 0.000 0.000 0.000
Al1 0.500 0.500 0.500
I1 0.000 0.500 0.500
O1 0.500 0.500 0.000

=====

#two
A geometry-optimized ZrAlI2O structure, computed with PBE-GGA.

Unit cell a=5.950 b=5.950 c=4.033 alpha=90.00 beta=90.00 gamma=90.00
Space group P4/mmm (No. 123)
Symmetry-distinct sites (fractional):
Zr1 0.000 0.000 0.000
Al1 0.500 0.500 0.500
I1 0.000 0.500 0.000
O1 0.000 0.000 0.500

=====

Stability verdict: #two, ahead by 28.8 kJ/mol of atoms

=====

#one
A geometry-optimized ZrAlIO2 structure, computed with PBE-GGA.

Unit cell a=4.196 b=4.196 c=6.078 alpha=90.00 beta=90.00 gamma=90.00
Space group P4/mmm (No. 123)
Symmetry-distinct sites (fractional):
Zr1 0.000 0.000 0.000
Al1 0.500 0.500 0.500
I1 0.000 0.000 0.500
O1 0.000 0.500 0.000

=====

#two
A geometry-optimized ZrAlIO2 structure, computed with PBE-GGA.

Unit cell a=3.910 b=3.910 c=5.357 alpha=90.00 beta=90.00 gamma=90.00
Space group P4/mmm (No. 123)
Symmetry-distinct sites (fractional):
Zr1 0.000 0.000 0.000
Al1 0.500 0.500 0.500
I1 0.500 0.500 0.000
O1 0.000 0.500 0.500

=====

Stability verdict: #one, ahead by 56.9 kJ/mol of atoms

=====

#one
A geometry-optimized AlOsI2 structure, computed with PBE-GGA.

Unit cell a=9.807 b=9.807 c=4.849 alpha=90.00 beta=90.00 gamma=90.00
Space group I-42d (No. 122)
Symmetry-distinct sites (fractional):
Al1 0.000 0.000 0.000
Os1 0.000 0.000 0.500
I1 0.104 0.750 0.625

=====

#two
A geometry-optimized AlOsI2 structure, computed with PBE-GGA.

Unit cell a=7.038 b=7.038 c=7.038 alpha=90.00 beta=90.00 gamma=90.00
Space group Fm-3m (No. 225)
Symmetry-distinct sites (fractional):
Al1 0.000 0.000 0.000
Os1 0.000 0.000 0.500
I1 0.250 0.250 0.250

=====

Stability verdict: #one, ahead by 83.1 kJ/mol of atoms

=====

#one
A geometry-optimized Al2OsI structure, computed with PBE-GGA.

Unit cell a=6.233 b=6.233 c=11.865 alpha=90.00 beta=90.00 gamma=90.00
Space group I-42d (No. 122)
Symmetry-distinct sites (fractional):
Al1 0.168 0.250 0.125
Os1 0.000 0.000 0.000
I1 0.000 0.000 0.500

=====

#two
A geometry-optimized Al2OsI structure, computed with PBE-GGA.

Unit cell a=6.604 b=6.604 c=6.604 alpha=90.00 beta=90.00 gamma=90.00
Space group Fm-3m (No. 225)
Symmetry-distinct sites (fractional):
Al1 0.250 0.250 0.250
Os1 0.000 0.000 0.000
I1 0.000 0.000 0.500

=====

Stability verdict: #one, ahead by 28.8 kJ/mol of atoms

=====

#one
A geometry-optimized AlSbOsI2 structure, computed with PBE-GGA.

Unit cell a=5.327 b=5.327 c=5.516 alpha=90.00 beta=90.00 gamma=90.00
Space group P4/mmm (No. 123)
Symmetry-distinct sites (fractional):
Al1 0.000 0.000 0.000
Sb1 0.000 0.000 0.500
Os1 0.500 0.500 0.500
I1 0.000 0.500 0.000

=====

#two
A geometry-optimized AlSbOsI2 structure, computed with PBE-GGA.

Unit cell a=5.659 b=5.659 c=4.997 alpha=90.00 beta=90.00 gamma=90.00
Space group P4/mmm (No. 123)
Symmetry-distinct sites (fractional):
Al1 0.000 0.000 0.000
Sb1 0.500 0.500 0.000
Os1 0.500 0.500 0.500
I1 0.000 0.500 0.500

=====

Stability verdict: #two, ahead by 66.2 kJ/mol of atoms

=====

#one
A geometry-optimized AlTe2OsI structure, computed with PBE-GGA.

Unit cell a=5.186 b=5.186 c=5.786 alpha=90.00 beta=90.00 gamma=90.00
Space group P4/mmm (No. 123)
Symmetry-distinct sites (fractional):
Al1 0.000 0.000 0.000
Te1 0.000 0.500 0.500
Os1 0.500 0.500 0.500
I1 0.500 0.500 0.000

=====

#two
A geometry-optimized AlTe2OsI structure, computed with PBE-GGA.

Unit cell a=5.342 b=5.342 c=5.278 alpha=90.00 beta=90.00 gamma=90.00
Space group P4/mmm (No. 123)
Symmetry-distinct sites (fractional):
Al1 0.000 0.000 0.000
Te1 0.000 0.500 0.000
Os1 0.500 0.500 0.500
I1 0.000 0.000 0.500

=====

Stability verdict: #one, ahead by 63.8 kJ/mol of atoms